(1)
# LuBiPt2

LuBiPt2 after structural relaxation (GGA-PBE, the Open Quantum Materials Database).

Calculated values
raw total energy: -5.65 eV per atom
crystal system: cubic
volume: 20.18 Å³ per atom

Cell and atoms, written as CIF:
```
data_LuBiPt2
_chemical_formula_sum 'Lu4 Bi4 Pt8'
_symmetry_space_group_name_H-M 'F -4 3 m'
_symmetry_Int_Tables_number 216
_symmetry_space_group_name_Hall 'F -4 2 3'
_cell_length_a 6.861
_cell_length_b 6.861
_cell_length_c 6.861
_cell_angle_alpha 90.00
_cell_angle_beta 90.00
_cell_angle_gamma 90.00
loop_
_atom_site_label
_atom_site_type_symbol
_atom_site_fract_x
_atom_site_fract_y
_atom_site_fract_z
Lu1 Lu 0.000 0.000 0.000
Bi1 Bi 0.250 0.250 0.750
Pt1 Pt 0.000 0.000 0.500
Pt2 Pt 0.250 0.250 0.250
```


(2)
# Tm3Lu3Bi2Pt

Tm3Lu3Bi2Pt after structural relaxation (GGA-PBE, the Open Quantum Materials Database).

Calculated values
raw total energy: -5.28 eV per atom
crystal system: hexagonal
volume: 26.87 Å³ per atom

Cell and atoms, written as CIF:
```
data_Tm3Lu3Bi2Pt
_chemical_formula_sum 'Tm3 Lu3 Bi2 Pt1'
_symmetry_space_group_name_H-M 'P -6 2 m'
_symmetry_Int_Tables_number 189
_symmetry_space_group_name_Hall 'P -6 -2'
_cell_length_a 8.2794
_cell_length_b 8.2794
_cell_length_c 4.0735
_cell_angle_alpha 90.00
_cell_angle_beta 90.00
_cell_angle_gamma 120.00
loop_
_atom_site_label
_atom_site_type_symbol
_atom_site_fract_x
_atom_site_fract_y
_atom_site_fract_z
Tm1 Tm 0.0000 0.6088 0.0000
Lu1 Lu 0.0000 0.2392 0.5000
Bi1 Bi 0.3333 0.6667 0.5000
Pt1 Pt 0.0000 0.0000 0.0000
```


(3)
# Tm3Lu3Bi2Pt

Tm3Lu3Bi2Pt after structural relaxation (GGA-PBE, the Open Quantum Materials Database).

Calculated values
raw total energy: -5.25 eV per atom
crystal system: hexagonal
volume: 27.01 Å³ per atom

Cell and atoms, written as CIF:
```
data_Tm3Lu3Bi2Pt
_chemical_formula_sum 'Tm3 Lu3 Bi2 Pt1'
_symmetry_space_group_name_H-M 'P -6 2 m'
_symmetry_Int_Tables_number 189
_symmetry_space_group_name_Hall 'P -6 -2'
_cell_length_a 8.2996
_cell_length_b 8.2996
_cell_length_c 4.0749
_cell_angle_alpha 90.00
_cell_angle_beta 90.00
_cell_angle_gamma 120.00
loop_
_atom_site_label
_atom_site_type_symbol
_atom_site_fract_x
_atom_site_fract_y
_atom_site_fract_z
Tm1 Tm 0.0000 0.2398 0.0000
Lu1 Lu 0.0000 0.6088 0.5000
Bi1 Bi 0.3333 0.6667 0.0000
Pt1 Pt 0.0000 0.0000 0.5000
```


(4)
# RbLuBi

RbLuBi after structural relaxation (GGA-PBE, the Open Quantum Materials Database).

Calculated values
raw total energy: -3.11 eV per atom
crystal system: cubic
volume: 39.83 Å³ per atom

Cell and atoms, written as CIF:
```
data_RbLuBi
_chemical_formula_sum 'Rb4 Lu4 Bi4'
_symmetry_space_group_name_H-M 'F -4 3 m'
_symmetry_Int_Tables_number 216
_symmetry_space_group_name_Hall 'F -4 2 3'
_cell_length_a 7.819
_cell_length_b 7.819
_cell_length_c 7.819
_cell_angle_alpha 90.00
_cell_angle_beta 90.00
_cell_angle_gamma 90.00
loop_
_atom_site_label
_atom_site_type_symbol
_atom_site_fract_x
_atom_site_fract_y
_atom_site_fract_z
Rb1 Rb 0.000 0.000 0.000
Lu1 Lu 0.000 0.000 0.500
Bi1 Bi 0.250 0.250 0.750
```


(5)
# RbLuBi

RbLuBi after structural relaxation (GGA-PBE, the Open Quantum Materials Database).

Calculated values
raw total energy: -2.57 eV per atom
crystal system: cubic
volume: 40.63 Å³ per atom

Cell and atoms, written as CIF:
```
data_RbLuBi
_chemical_formula_sum 'Rb4 Lu4 Bi4'
_symmetry_space_group_name_H-M 'F -4 3 m'
_symmetry_Int_Tables_number 216
_symmetry_space_group_name_Hall 'F -4 2 3'
_cell_length_a 7.871
_cell_length_b 7.871
_cell_length_c 7.871
_cell_angle_alpha 90.00
_cell_angle_beta 90.00
_cell_angle_gamma 90.00
loop_
_atom_site_label
_atom_site_type_symbol
_atom_site_fract_x
_atom_site_fract_y
_atom_site_fract_z
Rb1 Rb 0.000 0.000 0.000
Lu1 Lu 0.250 0.250 0.250
Bi1 Bi 0.250 0.250 0.750
```


(6)
# Lu2ReBi

Lu2ReBi after structural relaxation (GGA-PBE, the Open Quantum Materials Database).

Calculated values
raw total energy: -6.16 eV per atom
crystal system: cubic
volume: 21.75 Å³ per atom

Cell and atoms, written as CIF:
```
data_Lu2ReBi
_chemical_formula_sum 'Lu8 Re4 Bi4'
_symmetry_space_group_name_H-M 'F -4 3 m'
_symmetry_Int_Tables_number 216
_symmetry_space_group_name_Hall 'F -4 2 3'
_cell_length_a 7.034
_cell_length_b 7.034
_cell_length_c 7.034
_cell_angle_alpha 90.00
_cell_angle_beta 90.00
_cell_angle_gamma 90.00
loop_
_atom_site_label
_atom_site_type_symbol
_atom_site_fract_x
_atom_site_fract_y
_atom_site_fract_z
Lu1 Lu 0.000 0.000 0.000
Lu2 Lu 0.250 0.250 0.250
Re1 Re 0.250 0.250 0.750
Bi1 Bi 0.000 0.000 0.500
```


(7)
# LuRe2Bi

LuRe2Bi after structural relaxation (GGA-PBE, the Open Quantum Materials Database).

Calculated values
raw total energy: -7.67 eV per atom
crystal system: cubic
volume: 19.49 Å³ per atom

Cell and atoms, written as CIF:
```
data_LuRe2Bi
_chemical_formula_sum 'Lu4 Re8 Bi4'
_symmetry_space_group_name_H-M 'F -4 3 m'
_symmetry_Int_Tables_number 216
_symmetry_space_group_name_Hall 'F -4 2 3'
_cell_length_a 6.782
_cell_length_b 6.782
_cell_length_c 6.782
_cell_angle_alpha 90.00
_cell_angle_beta 90.00
_cell_angle_gamma 90.00
loop_
_atom_site_label
_atom_site_type_symbol
_atom_site_fract_x
_atom_site_fract_y
_atom_site_fract_z
Lu1 Lu 0.000 0.000 0.000
Re1 Re 0.000 0.000 0.500
Re2 Re 0.250 0.250 0.250
Bi1 Bi 0.250 0.250 0.750
```


(8)
# LuReBi2

LuReBi2 after structural relaxation (GGA-PBE, the Open Quantum Materials Database).

Calculated values
raw total energy: -5.73 eV per atom
crystal system: cubic
volume: 23.30 Å³ per atom

Cell and atoms, written as CIF:
```
data_LuReBi2
_chemical_formula_sum 'Lu4 Re4 Bi8'
_symmetry_space_group_name_H-M 'F -4 3 m'
_symmetry_Int_Tables_number 216
_symmetry_space_group_name_Hall 'F -4 2 3'
_cell_length_a 7.197
_cell_length_b 7.197
_cell_length_c 7.197
_cell_angle_alpha 90.00
_cell_angle_beta 90.00
_cell_angle_gamma 90.00
loop_
_atom_site_label
_atom_site_type_symbol
_atom_site_fract_x
_atom_site_fract_y
_atom_site_fract_z
Lu1 Lu 0.000 0.000 0.000
Re1 Re 0.250 0.250 0.750
Bi1 Bi 0.000 0.000 0.500
Bi2 Bi 0.250 0.250 0.250
```